# NaCr2F (PBE+U, relaxed)
data_NaCr2F
_chemical_formula_sum 'Na4 Cr8 F4'
_cell_length_a 6.237
_cell_length_b 6.237
_cell_length_c 11.430
_cell_angle_alpha 90.00
_cell_angle_beta 90.00
_cell_angle_gamma 90.00
_space_group_name_H-M_alt 'I 41/a m d'
_space_group_IT_number 141
loop_
_space_group_symop_operation_xyz
'x,y,z'
'-x,-y,-z'
'-y+1/4,x+3/4,z+1/4'
'y+1/4,-x+3/4,-z+1/4'
'-x+1/2,-y,z+1/2'
'x+1/2,y,-z+1/2'
'y+1/4,-x+1/4,z+3/4'
'-y+1/4,x+1/4,-z+3/4'
'x,-y,-z'
'-x,y,z'
'-y+1/4,-x+1/4,-z+3/4'
'y+1/4,x+1/4,z+3/4'
'-x+1/2,y,-z+1/2'
'x+1/2,-y,z+1/2'
'y+1/4,x+3/4,-z+1/4'
'-y+1/4,-x+3/4,z+1/4'
'x+1/2,y+1/2,z+1/2'
'-x+1/2,-y+1/2,-z+1/2'
'-y+3/4,x+1/4,z+3/4'
'y+3/4,-x+1/4,-z+3/4'
'-x,-y+1/2,z'
'x,y+1/2,-z'
'y+3/4,-x+3/4,z+1/4'
'-y+3/4,x+3/4,-z+1/4'
'x+1/2,-y+1/2,-z+1/2'
'-x+1/2,y+1/2,z+1/2'
'-y+3/4,-x+3/4,-z+1/4'
'y+3/4,x+3/4,z+1/4'
'-x,y+1/2,-z'
'x,-y+1/2,z'
'y+3/4,x+1/4,-z+3/4'
'-y+3/4,-x+1/4,z+3/4'
loop_
_atom_site_label
_atom_site_fract_x
_atom_site_fract_y
_atom_site_fract_z
_atom_site_occupancy
Na1 0.000 0.250 0.375 1
Cr1 0.000 0.000 0.000 1
F1 0.000 0.250 0.875 1
# Polymorph energy (0 for the lowest one) in meV per atom: 0
# E_tot in eV/atom: -4.724